Computed, not measured: an optimized crystal structure of CaFeF3 at the PBE with a Hubbard U level of DFT.

## Properties
polymorph energy (0 for the lowest one): 0.253 eV per atom
spin magnetization: 3.52 Bohr magnetons per cell

Cell: 4.203 4.203 4.203 Å, 90.00 90.00 90.00°
Space group Pm-3m (No. 221)
One atom of each set of equivalent atoms:
Ca: 0.000 0.000 0.000 (multiplicity 1)
Fe: 0.500 0.500 0.500 (multiplicity 1)
F: 0.000 0.500 0.500 (multiplicity 3)